# 1
Here is an optimized crystal structure of GdYTh4 from the Alexandria database. Energies are from GGA-PBE.

```
data_GdYTh4
_cell_length_a 9.386
_cell_length_b 9.386
_cell_length_c 9.386
_cell_angle_alpha 90.00
_cell_angle_beta 90.00
_cell_angle_gamma 90.00
_symmetry_space_group_name_H-M 'F -4 3 m'
_symmetry_Int_Tables_number 216
_symmetry_space_group_name_Hall 'F -4 2 3'
loop_
_atom_site_label
_atom_site_fract_x
_atom_site_fract_y
_atom_site_fract_z
Gd1 0.000 0.000 0.000
Y1 0.250 0.250 0.750
Th1 0.125 0.125 0.375
```

Calculated values
**Density**: 9.43 g cm⁻³
**Formation enthalpy at 0 K**: 0.258 eV/atom
**Calculated volume**: 827 Å³/cell
**D(E_F)**: 11.35 states/eV/f.u.

# 2
Here is an optimized crystal structure of RbSrPb2 from the Alexandria database. Energies are from GGA-PBE.

```
data_RbSrPb2
_cell_length_a 8.471
_cell_length_b 8.471
_cell_length_c 8.471
_cell_angle_alpha 90.00
_cell_angle_beta 90.00
_cell_angle_gamma 90.00
_symmetry_space_group_name_H-M 'F m -3 m'
_symmetry_Int_Tables_number 225
_symmetry_space_group_name_Hall '-F 4 2 3'
loop_
_atom_site_label
_atom_site_fract_x
_atom_site_fract_y
_atom_site_fract_z
Rb1 0.000 0.000 0.000
Sr1 0.000 0.000 0.500
Pb1 0.250 0.250 0.250
```

Calculated values
**Density**: 6.42 g cm⁻³
**Formation enthalpy at 0 K**: -0.180 eV/atom
**Energy relative to the lowest polymorph listed for this composition**: 0.103 eV per atom
**Calculated volume**: 608 Å³/cell
**D(E_F)**: 2.75 states/eV/f.u.

# 3
Here is an optimized crystal structure of ErThPaIn from the Alexandria database. Energies are from GGA-PBE.

```
data_ErThPaIn
_cell_length_a 7.624
_cell_length_b 7.624
_cell_length_c 7.624
_cell_angle_alpha 90.00
_cell_angle_beta 90.00
_cell_angle_gamma 90.00
_symmetry_space_group_name_H-M 'F -4 3 m'
_symmetry_Int_Tables_number 216
_symmetry_space_group_name_Hall 'F -4 2 3'
loop_
_atom_site_label
_atom_site_fract_x
_atom_site_fract_y
_atom_site_fract_z
Er1 0.000 0.000 0.000
Th1 0.000 0.000 0.500
Pa1 0.250 0.250 0.750
In1 0.250 0.250 0.250
```

Calculated values
**Density**: 11.17 g cm⁻³
**Formation enthalpy at 0 K**: 0.129 eV/atom
**Calculated volume**: 443 Å³/cell
**D(E_F)**: 7.15 states/eV/f.u.

# 4
Here is an optimized crystal structure of V2Cu2Pd7 from the Alexandria database. Energies are from GGA-PBE.

```
data_V2Cu2Pd7
_cell_length_a 6.645
_cell_length_b 7.512
_cell_length_c 6.624
_cell_angle_alpha 90.00
_cell_angle_beta 102.15
_cell_angle_gamma 90.00
_symmetry_space_group_name_H-M 'C 1 2/m 1'
_symmetry_Int_Tables_number 12
loop_
_symmetry_equiv_pos_as_xyz
'x,y,z'
'-x,-y,-z'
'-x,y,-z'
'x,-y,z'
'x+1/2,y+1/2,z'
'-x+1/2,-y+1/2,-z'
'-x+1/2,y+1/2,-z'
'x+1/2,-y+1/2,z'
loop_
_atom_site_label
_atom_site_fract_x
_atom_site_fract_y
_atom_site_fract_z
V1 0.000 0.182 0.000
Cu1 0.100 0.000 0.353
Pd1 0.000 0.500 0.500
Pd2 0.158 0.500 0.912
Pd3 0.233 0.190 0.705
```

Calculated values
**Density**: 10.01 g cm⁻³
**Formation enthalpy at 0 K**: -0.112 eV/atom
**Energy relative to the lowest polymorph listed for this composition**: 0.000 eV per atom
**Calculated volume**: 323 Å³/cell
**D(E_F)**: 8.65 states/eV/f.u.

# 5
Here is an optimized crystal structure of TmGa2Co2 from the Alexandria database. Energies are from GGA-PBE.

```
data_TmGa2Co2
_cell_length_a 4.023
_cell_length_b 4.023
_cell_length_c 9.838
_cell_angle_alpha 90.00
_cell_angle_beta 90.00
_cell_angle_gamma 90.00
_symmetry_space_group_name_H-M 'I 4/m m m'
_symmetry_Int_Tables_number 139
_symmetry_space_group_name_Hall '-I 4 2'
loop_
_atom_site_label
_atom_site_fract_x
_atom_site_fract_y
_atom_site_fract_z
Tm1 0.000 0.000 0.000
Ga1 0.000 0.000 0.371
Co1 0.000 0.500 0.250
```

Calculated values
**Density**: 8.89 g cm⁻³
**Formation enthalpy at 0 K**: -0.407 eV/atom
**Energy relative to the lowest polymorph listed for this composition**: 0.015 eV per atom
**Calculated volume**: 159 Å³/cell
**D(E_F)**: 2.86 states/eV/f.u.

# 6
Here is an optimized crystal structure of CaAg2As from the Alexandria database. Energies are from GGA-PBE.

```
data_CaAg2As
_cell_length_a 4.209
_cell_length_b 4.223
_cell_length_c 9.469
_cell_angle_alpha 90.00
_cell_angle_beta 90.00
_cell_angle_gamma 90.00
_symmetry_space_group_name_H-M 'I m m m'
_symmetry_Int_Tables_number 71
_symmetry_space_group_name_Hall '-I 2 2'
loop_
_atom_site_label
_atom_site_fract_x
_atom_site_fract_y
_atom_site_fract_z
Ca1 0.000 0.000 0.000
Ag1 0.000 0.500 0.249
As1 0.000 0.000 0.500
```

Calculated values
**Density**: 6.53 g cm⁻³
**Formation enthalpy at 0 K**: -0.335 eV/atom
**Calculated volume**: 168 Å³/cell
**D(E_F)**: 1.63 states/eV/f.u.

Look up the D(E_F) of the first one. 11.35 states/eV/f.u.

calculated volume of number 3 (ErThPaIn)? 443 Å³/cell

Among the records above, which one has the lowest density? RbSrPb2

Which of these has the highest calculated volume? GdYTh4